The following is a GGA-PBEsol calculation of an optimized crystal structure of Ga2CoPdF, from the Alexandria database.

uncorrected energy	-4.180	eV per atom

Structure (POSCAR):
```
Ga2CoPdF
1.0
-1.493 -2.486 -2.694
4.379 -1.688 -0.870
-0.602 -3.309 3.387
Ga Co Pd F
2 1 1 1
Direct
0.000 0.500 0.000
0.000 0.000 0.500
0.500 0.500 0.500
0.000 0.000 0.000
0.500 0.000 0.000
```


The following is a GGA-PBEsol calculation of an optimized crystal structure of CoGeF3, from the Alexandria database.

uncorrected energy	-4.830	eV per atom

Structure (POSCAR):
```
CoGeF3
1.0
3.999 0.000 0.000
0.000 3.999 0.000
0.000 0.000 3.999
Ge F Co
1 3 1
Direct
0.500 0.500 0.500
0.000 0.000 0.500
0.500 0.000 0.000
0.000 0.500 0.000
0.000 0.000 0.000
```


The following is a GGA-PBEsol calculation of an optimized crystal structure of CoGeF2, from the Alexandria database.

uncorrected energy	-5.107	eV per atom

Structure (POSCAR):
```
CoGeF2
1.0
2.856 0.000 0.000
1.428 2.474 0.000
1.428 0.825 7.368
F Co Ge
2 1 1
Direct
0.109 0.109 0.674
0.891 0.891 0.326
0.500 0.500 0.500
0.000 0.000 0.000
```


The following is a GGA-PBEsol calculation of an optimized crystal structure of CoGeN2F, from the Alexandria database.

excess energy over the best structure of this formula in the dataset	0	meV/atom

Structure (POSCAR):
```
CoGeN2F
1.0
3.649 0.000 0.000
0.000 3.649 0.000
0.000 0.000 3.949
Ge N F Co
1 2 1 1
Direct
0.500 0.500 0.500
0.000 0.500 0.000
0.500 0.000 0.000
0.000 0.000 0.500
0.000 0.000 0.000
```


The following is a GGA-PBEsol calculation of an optimized crystal structure of CoGeN2F, from the Alexandria database.

excess energy over the best structure of this formula in the dataset	244	meV/atom

Structure (POSCAR):
```
CoGeN2F
1.0
3.751 0.000 0.000
0.000 3.751 0.000
0.000 0.000 3.726
N Co F Ge
2 1 1 1
Direct
0.000 0.500 0.000
0.500 0.000 0.000
0.500 0.500 0.500
0.000 0.000 0.500
0.000 0.000 0.000
```


The following is a GGA-PBEsol calculation of an optimized crystal structure of CoSiH12O6F6, from the Alexandria database.

uncorrected energy	-5.250	eV per atom

Structure (POSCAR):
```
CoSiH12O6F6
1.0
-0.123 4.804 3.904
-5.271 -2.621 1.917
3.822 -3.544 3.341
F O H Si Co
6 6 12 1 1
Direct
0.431 0.697 0.687
0.687 0.431 0.697
0.697 0.687 0.431
0.569 0.303 0.313
0.303 0.313 0.569
0.313 0.569 0.303
0.939 0.111 0.299
0.889 0.701 0.061
0.299 0.939 0.111
0.111 0.299 0.939
0.701 0.061 0.889
0.061 0.889 0.701
0.404 0.065 0.188
0.188 0.404 0.065
0.596 0.935 0.812
0.183 0.799 0.699
0.301 0.817 0.201
0.817 0.201 0.301
0.699 0.183 0.799
0.065 0.188 0.404
0.201 0.301 0.817
0.935 0.812 0.596
0.812 0.596 0.935
0.799 0.699 0.183
0.500 0.500 0.500
0.000 0.000 0.000
```


The following is a GGA-PBEsol calculation of an optimized crystal structure of CoSn2H12O6F6, from the Alexandria database.

uncorrected energy	-5.072	eV per atom

Structure (POSCAR):
```
CoSn2H12O6F6
1.0
-6.041 -1.426 -1.562
-0.454 -6.423 -2.159
-1.911 -3.701 5.750
H F O Sn Co
12 6 6 2 1
Direct
0.756 0.373 0.074
0.111 0.748 0.736
0.078 0.796 0.369
0.350 0.090 0.817
0.244 0.627 0.926
0.749 0.749 0.029
0.922 0.204 0.631
0.726 0.106 0.726
0.251 0.251 0.971
0.274 0.894 0.274
0.889 0.252 0.264
0.650 0.910 0.183
0.557 0.998 0.677
0.966 0.716 0.582
0.034 0.284 0.418
0.697 0.597 0.929
0.303 0.403 0.071
0.443 0.002 0.323
0.824 0.178 0.755
0.205 0.766 0.825
0.213 0.160 0.899
0.795 0.234 0.175
0.176 0.822 0.245
0.787 0.840 0.101
0.640 0.677 0.632
0.360 0.323 0.368
0.000 0.000 0.000
```


The following is a GGA-PBEsol calculation of an optimized crystal structure of CoHSe2F, from the Alexandria database.

uncorrected energy	-4.107	eV per atom

Structure (POSCAR):
```
CoHSe2F
1.0
-1.440 -1.960 -0.450
1.743 -0.152 -4.917
3.868 -3.181 1.469
F Se H Co
1 2 1 1
Direct
0.500 0.000 0.000
0.000 0.500 0.000
0.000 0.000 0.500
0.000 0.000 0.000
0.500 0.500 0.500
```